Entry 1:
## KMgNi2H3Se2O10 (PBE with a Hubbard U)

Data for KMgNi2H3Se2O10 after structural relaxation.

Cell: 5.958 5.958 8.570 Å, 62.11 62.11 65.64°
Last column: magnetic moment on the atom in μB.
Atoms (fractional coordinates):
K 0.516 0.516 0.548  0.00
Mg 0.430 0.430 0.235  0.00
Ni 0.981 0.489 0.024  1.78
Ni 0.489 0.981 0.024  1.78
H 0.170 0.170 0.271  0.00
H 0.824 0.824 0.687  0.00
H 0.633 0.633 0.828  0.00
Se 0.111 0.111 0.755  0.01
Se 0.885 0.885 0.332  0.01
O 0.250 0.250 0.522  0.01
O 0.963 0.963 0.468  0.01
O 0.784 0.213 0.812  0.02
O 0.213 0.784 0.812  0.02
O 0.186 0.782 0.180  0.03
O 0.782 0.186 0.180  0.03
O 0.274 0.274 0.145  0.06
O 0.732 0.732 0.827  0.03
O 0.224 0.224 0.847  0.02
O 0.665 0.665 0.182  0.15

Values from the calculation:
* symmetry: No. 8
* uncorrected energy: -5.064 eV per atom
* E above lowest polymorph: 3.3 meV/atom
* crystal system: monoclinic
* theoretical density: 3.6 g cm⁻³

---

Entry 2:
## KMgNi2H3Se2O10 (PBE with a Hubbard U)

Data for KMgNi2H3Se2O10 after structural relaxation.

Cell: 5.827 5.827 9.477 Å, 74.22 74.22 60.77°
Last column: magnetic moment on the atom in μB.
Atoms (fractional coordinates):
K 0.530 0.530 0.479  0.00
Mg 0.982 0.982 0.875  0.00
Ni 0.971 0.447 0.048  1.75
Ni 0.447 0.971 0.048  1.75
H 0.193 0.193 0.334  0.00
H 0.726 0.726 0.813  0.00
H 0.376 0.376 0.157  0.00
Se 0.171 0.171 0.599  0.00
Se 0.926 0.926 0.241  0.01
O 0.115 0.115 0.437  0.00
O 0.807 0.807 0.405  0.01
O 0.853 0.290 0.696  0.00
O 0.290 0.853 0.696  0.00
O 0.264 0.774 0.217  0.04
O 0.774 0.264 0.217  0.04
O 0.277 0.277 0.165  0.06
O 0.765 0.765 0.895  0.06
O 0.147 0.147 0.944  0.17
O 0.842 0.842 0.106  0.03

Values from the calculation:
* symmetry: No. 8
* uncorrected energy: -5.036 eV per atom
* E above lowest polymorph: 31.1 meV/atom
* crystal system: monoclinic
* theoretical density: 3.1 g cm⁻³

---

Entry 3:
## KMgNi2H3Se2O10 (PBE with a Hubbard U)

Data for KMgNi2H3Se2O10 after structural relaxation.

Cell: 6.060 6.060 8.396 Å, 63.45 63.45 66.26°
Last column: magnetic moment on the atom in μB.
Atoms (fractional coordinates):
K 0.505 0.505 0.565  0.00
Mg 0.448 0.448 0.244  0.00
Ni 0.499 0.984 0.023  1.76
Ni 0.984 0.499 0.023  1.76
H 0.764 0.764 0.698  0.00
H 0.204 0.204 0.250  0.00
H 0.599 0.599 0.871  0.00
Se 0.891 0.891 0.267  0.01
Se 0.099 0.099 0.752  0.01
O 0.777 0.777 0.505  0.02
O 0.228 0.228 0.520  0.01
O 0.805 0.219 0.234  0.03
O 0.219 0.805 0.234  0.03
O 0.192 0.779 0.816  0.02
O 0.779 0.192 0.816  0.02
O 0.706 0.706 0.842  0.03
O 0.305 0.305 0.130  0.05
O 0.679 0.679 0.175  0.14
O 0.203 0.203 0.858  0.01

Values from the calculation:
* symmetry: No. 8
* uncorrected energy: -5.025 eV per atom
* E above lowest polymorph: 42.3 meV/atom
* crystal system: monoclinic
* theoretical density: 3.5 g cm⁻³